A plane-wave DFT calculation with PBE was carried out for Ce3GaS6 after structural relaxation.

Output
As for the uncorrected formation energy: -161.5 kJ/mol of atoms.

Unit cell a=10.976 b=13.695 c=6.652 alpha=90.00 beta=90.00 gamma=90.00
Space group Cmc2_1 (No. 36)
Symmetry-distinct sites (fractional):
1 Ce 0.000 0.103 0.000 (multiplicity 4)
2 Ce 0.182 0.400 0.072 (multiplicity 8)
3 Ga 0.000 0.302 0.618 (multiplicity 4)
4 S 0.000 0.283 0.275 (multiplicity 4)
5 S 0.000 0.460 0.755 (multiplicity 4)
6 S 0.161 0.023 0.286 (multiplicity 8)
7 S 0.164 0.236 0.787 (multiplicity 8)